A plane-wave DFT calculation with PBE was carried out for a relaxed K2Sc3Te6 crystal.

a b c (Å): 7.1544 7.1543 8.9418
angles (deg): 82.32 74.50 60.00
Last column: nearest neighbours and their distance in Å.
Fractional positions:
Te1 0.9303 0.6698 0.1994  3 Sc 2.93-2.95
Te2 0.2702 0.0000 0.1984  3 Sc 2.94-2.95
Te3 0.0697 0.3302 0.8006  3 Sc 2.93-2.95
Te4 0.6001 0.3302 0.1994  3 Sc 2.93-2.95
Te5 0.3999 0.6698 0.8006  3 Sc 2.93-2.95
Te6 0.7298 0.0000 0.8016  3 Sc 2.94-2.95
Sc1 0.6679 0.6642 0.0000  6 Te 2.93-2.95
Sc2 0.3321 0.3358 0.0000  6 Te 2.93-2.95
Sc3 0.0000 0.0000 0.0000  6 Te 2.93-2.95
K1 0.1665 0.6670 0.5000  6 Te 3.53
K2 0.8335 0.3330 0.5000  6 Te 3.53

Values from the calculation:
For the final energy, the calculation gives -53.0 eV for the cell shown. For the total magnetic moment, the calculation gives 0.00 μB/cell. The calculation puts the uncorrected formation energy at -1.1801 eV per atom.